# 1
# Cd12S3O5

A geometry-optimized Cd12S3O5 structure (PBE, the Alexandria database).

```
80
Lattice="-7.409 7.409 7.409 7.409 -7.409 7.409 7.409 7.409 -7.409" Properties=species:S:1:pos:R:3 pbc="T T T"
Cd 2.122 -0.604 0.946
Cd 8.991 4.650 -4.308
Cd 6.805 -0.946 2.122
Cd 11.717 -1.582 2.758
Cd 0.946 2.122 -0.604
Cd 10.167 3.100 -1.582
Cd 9.531 0.604 0.946
Cd 8.991 -2.758 4.308
Cd 4.650 4.308 -1.582
Cd 6.463 2.122 0.604
Cd -0.604 0.946 2.122
Cd 4.308 -1.582 4.650
Cd 6.805 6.463 -2.122
Cd 4.308 1.582 2.758
Cd 6.463 -2.122 6.805
Cd 4.650 -4.308 8.991
Cd 2.122 6.805 -0.946
Cd 8.991 2.758 3.100
Cd 2.758 4.308 1.582
Cd 8.355 5.286 0.604
Cd 4.308 8.991 -2.758
Cd 6.805 0.946 5.286
Cd 1.582 2.758 4.308
Cd 2.122 0.604 6.463
Cd 5.286 6.805 0.946
Cd 5.827 4.650 3.100
Cd 0.604 6.463 2.122
Cd 3.100 -1.582 10.167
Cd -0.946 2.122 6.805
Cd 4.650 3.100 5.827
Cd -1.582 4.650 4.308
Cd 5.286 0.604 8.355
Cd 2.758 11.717 -1.582
Cd 0.946 9.531 0.604
Cd 3.100 5.827 4.650
Cd 0.604 0.946 9.531
Cd 3.100 8.991 2.758
Cd 8.013 6.463 5.286
Cd 0.946 5.286 6.805
Cd 2.758 3.100 8.991
Cd -1.582 10.167 3.100
Cd -2.122 6.805 6.463
Cd -2.758 4.308 8.991
Cd 6.463 5.286 8.013
Cd -4.308 8.991 4.650
Cd 0.604 8.355 5.286
Cd -1.582 2.758 11.717
Cd 5.286 8.013 6.463
S 3.704 1.852 0.000
S 7.409 3.704 -1.852
S 1.852 0.000 3.704
S 9.261 0.000 3.704
S 0.000 3.704 1.852
S 3.704 -1.852 7.409
S 3.704 9.261 0.000
S 7.409 3.704 5.557
S -1.852 7.409 3.704
S 5.557 7.409 3.704
S 0.000 3.704 9.261
S 3.704 5.557 7.409
O 0.000 0.000 0.000
O 3.704 3.704 -3.704
O 3.704 -3.704 3.704
O 7.409 0.000 0.000
O 11.113 1.852 0.000
O 7.409 -3.704 5.557
O 5.557 7.409 -3.704
O 5.557 0.000 3.704
O 3.704 5.557 0.000
O 7.409 3.704 1.852
O -3.704 3.704 3.704
O 0.000 7.409 0.000
O 0.000 0.000 7.409
O 3.704 3.704 3.704
O 0.000 3.704 5.557
O 3.704 1.852 7.409
O 1.852 7.409 3.704
O 1.852 0.000 11.113
O 0.000 11.113 1.852
O -3.704 5.557 7.409
```

Values from the calculation:
Total DFT energy (no corrections) in eV/cell: -227.1
Total moment in μB/cell: 0.0
Crystal system: cubic
Raw formation energy in kJ/mol of atoms: -41.6
DOS at the Fermi energy in states/eV per atom: 0.18

=====

# 2
# Cd2SO6

A geometry-optimized Cd2SO6 structure (PBE, the Alexandria database).

```
18
Lattice="5.190 0.000 0.000 0.320 5.212 0.000 1.241 1.298 9.795" Properties=species:S:1:pos:R:3 pbc="T T T"
Cd 0.000 0.000 0.000
Cd 1.184 1.187 5.276
Cd 3.953 4.008 9.758
Cd 3.922 3.800 5.225
S 1.197 3.679 7.299
S 5.345 2.665 2.246
O 0.931 1.726 3.073
O 1.516 2.233 7.451
O 1.549 4.041 5.843
O 1.117 3.551 1.489
O 1.976 4.496 8.248
O 2.133 0.585 0.226
O 3.340 0.778 4.861
O 4.607 6.118 9.371
O 4.217 1.625 5.715
O 4.929 3.940 7.450
O 4.430 3.535 3.014
O 4.539 1.891 1.231
```

Values from the calculation:
Total DFT energy (no corrections) in eV/cell: -89.6
Total moment in μB/cell: 0.0
Crystal system: triclinic
Raw formation energy in kJ/mol of atoms: -97.5
Energy above the most stable polymorph in this dataset in kJ per mole of atoms: 0.00

=====

# 3
# CdSO4

A geometry-optimized CdSO4 structure (PBE, the Alexandria database).

```
12
Lattice="4.117 -2.726 0.000 4.117 2.726 0.000 -1.049 0.000 7.904" Properties=species:S:1:pos:R:3 pbc="T T T"
Cd 2.058 1.363 0.000
Cd 1.534 -1.363 3.952
S 3.331 2.072 5.928
S 3.855 -2.072 1.976
O 0.449 0.188 6.070
O 0.973 -0.188 2.118
O 3.144 1.235 7.148
O 3.517 1.235 4.708
O 3.668 -1.235 3.196
O 4.041 -1.235 0.756
O 6.212 0.188 5.786
O 6.736 -0.188 1.834
```

Values from the calculation:
Total DFT energy (no corrections) in eV/cell: -65.5
Total moment in μB/cell: 0.0
Crystal system: monoclinic
Raw formation energy in kJ/mol of atoms: -126.9
DOS at the Fermi energy in states/eV per atom: 0.00

=====

Which of these has the lowest raw formation energy?
CdSO4

=====

Among the records above, which one has the lowest raw formation energy?
CdSO4

=====

What is the formula in the third record?
CdSO4